Below is a relaxed Sr2TbCoO6 crystal, with properties calculated at the PBE with a Hubbard U level.

Calculated values
Space-group type = No. 225
Final energy = -6.454 eV per atom

Lattice parameters (Å, degrees): 5.7364 5.7364 5.7364 60.00 60.00 60.00
Sites, in units of the cell vectors:
Sr1 0.7500 0.7500 0.7500
Sr2 0.2500 0.2500 0.2500
O1 0.7710 0.2290 0.7710
O2 0.2290 0.7710 0.2290
O3 0.7710 0.7710 0.2290
O4 0.2290 0.2290 0.7710
O5 0.7710 0.2290 0.2290
O6 0.2290 0.7710 0.7710
Co1 0.0000 0.0000 0.0000
Tb1 0.5000 0.5000 0.5000